A plane-wave DFT calculation with PBE was carried out for an optimized crystal structure of LiNbSbBr2.

abc: 5.937 5.478 5.937
angles: 90.00 90.00 90.00
Element x y z (fractional)
Sb 0.000 0.000 0.000
Nb 0.000 0.500 0.000
Br 0.000 0.000 0.500
Br 0.500 0.000 0.000
Li 0.500 0.500 0.500

Values from the calculation:
magnetization: 0.7857 μB per atom
raw total energy: -16.95 eV/cell
E_form (uncorrected): 500.2 meV/atom